[1]
## SrAl2Hg (PBE)

Data for crystalline SrAl2Hg at its relaxed geometry.

Cell and atoms, written as extended XYZ:
```
8
Lattice="7.821 0.000 0.000 0.000 4.523 0.000 -2.612 0.000 5.906" Properties=species:S:1:pos:R:3 pbc="T T T"
Sr 0.000 0.000 0.000
Sr 3.911 2.262 0.000
Al -0.004 0.000 3.757
Al 1.303 2.262 2.148
Al 3.907 2.262 3.757
Al 5.214 0.000 2.148
Hg -1.306 2.262 2.953
Hg 2.605 0.000 2.953
```

- Total energy: -2.52 eV per atom
- Energy of formation from the pure elements: -0.153 eV/atom
- D(E_F): 0.48 states/eV per atom
- Total magnetization: 0.00 μB per formula unit
- Distance to the lowest polymorph of the same formula: 0.36 eV/f.u.

[2]
## Sr5Al2Hg2 (PBE)

Data for crystalline Sr5Al2Hg2 at its relaxed geometry.

Cell and atoms, written as extended XYZ:
```
18
Lattice="8.832 -4.228 0.000 8.832 4.228 0.000 0.000 0.000 8.646" Properties=species:S:1:pos:R:3 pbc="T T T"
Sr 0.000 0.000 0.000
Sr 6.392 2.751 5.821
Sr 6.392 1.477 1.497
Sr 11.272 2.751 5.821
Sr 11.272 1.477 1.497
Sr 8.832 0.000 4.323
Sr 6.392 -1.477 7.149
Sr 6.392 -2.751 2.826
Sr 11.272 -1.477 7.149
Sr 11.272 -2.751 2.826
Al 8.832 3.335 3.378
Al 8.832 0.893 7.701
Al 8.832 -0.893 0.945
Al 8.832 -3.335 5.268
Hg 3.614 0.000 0.000
Hg 5.218 0.000 4.323
Hg 12.447 0.000 4.323
Hg 14.050 0.000 0.000
```

- Total energy: -2.11 eV per atom
- Energy of formation from the pure elements: -0.277 eV/atom
- D(E_F): 1.10 states/eV per atom
- Total magnetization: 0.00 μB per formula unit

[3]
## Sr2AlHg (PBE)

Data for crystalline Sr2AlHg at its relaxed geometry.

Cell and atoms, written as extended XYZ:
```
8
Lattice="3.937 0.000 0.000 0.000 5.550 0.000 0.000 0.000 11.428" Properties=species:S:1:pos:R:3 pbc="T T T"
Sr 0.000 0.000 0.000
Sr 0.000 2.775 2.278
Sr 1.969 0.000 7.991
Sr 1.969 2.775 5.714
Al 0.000 2.775 8.757
Al 1.969 0.000 3.043
Hg 0.000 0.000 5.040
Hg 1.969 2.775 10.753
```

- Total energy: -2.11 eV per atom
- Energy of formation from the pure elements: -0.257 eV/atom
- D(E_F): 0.46 states/eV per atom
- Total magnetization: 0.00 μB per formula unit
- Distance to the lowest polymorph of the same formula: 0.21 eV/f.u.